(1)
Density functional theory data (PBE-GGA) for an optimized crystal structure of Sb2Pb.

Properties
**Formation energy without anion corrections**: 0.10 eV/atom
**ρ**: 8068 kg/m³
**Volume**: 30.92 A^3/atom
**Relative energy among the computed polymorphs**: 30.8 meV/atom
**Final energy**: -3.89 eV per atom

Cell and atoms, written as CIF:
```
data_Sb2Pb
_symmetry_space_group_name_H-M 'C m c m'
_symmetry_Int_Tables_number 63
_symmetry_space_group_name_Hall '-C 2c 2'
_cell_length_a 3.550
_cell_length_b 16.469
_cell_length_c 6.346
_cell_angle_alpha 90.00
_cell_angle_beta 90.00
_cell_angle_gamma 90.00
loop_
_atom_site_label
_atom_site_type_symbol
_atom_site_fract_x
_atom_site_fract_y
_atom_site_fract_z
Sb1 Sb 0.000 0.002 0.250
Sb2 Sb 0.000 0.348 0.750
Pb1 Pb 0.000 0.326 0.250
```

---

(2)
Density functional theory data (PBE-GGA) for an optimized crystal structure of Pm2NiGe3Ir4.

Properties
**Energy relative to the elements**: -668.3 kJ/mol of formula units
**ρ**: 12239 kg/m³
**Volume**: 18.12 A^3/atom
**Final energy**: -7.15 eV per atom

Cell and atoms, written as CIF:
```
data_Pm2NiGe3Ir4
_symmetry_space_group_name_H-M 'P -4 m 2'
_symmetry_Int_Tables_number 115
_cell_length_a 4.186
_cell_length_b 4.186
_cell_length_c 10.339
_cell_angle_alpha 90.00
_cell_angle_beta 90.00
_cell_angle_gamma 90.00
loop_
_symmetry_equiv_pos_as_xyz
'x,y,z'
'y,-x,-z'
'-x,-y,z'
'-y,x,-z'
'-x,y,z'
'-y,-x,-z'
'x,-y,z'
'y,x,-z'
loop_
_atom_site_label
_atom_site_type_symbol
_atom_site_fract_x
_atom_site_fract_y
_atom_site_fract_z
Pm1 Pm 0.000 0.500 0.246
Ni1 Ni 0.500 0.500 0.000
Ge1 Ge 0.000 0.000 0.000
Ge2 Ge 0.000 0.500 0.632
Ir1 Ir 0.000 0.000 0.500
Ir2 Ir 0.000 0.500 0.869
Ir3 Ir 0.500 0.500 0.500
```